Here is crystalline TaCoPO at its relaxed geometry from the Open Quantum Materials Database. Energies are from GGA+U.

Output
Total energy = -7.240 eV per atom
Energy above the lowest structure with this stoichiometry = 2.38 eV per formula unit
Calculated volume = 141.59 Å³/cell

```
TaCoPO
1.0
4.0201 0.0000 0.0000
0.0000 4.0201 0.0000
0.0000 0.0000 8.7610
Ta Co P O
2 2 2 2
direct
0.2500 0.7500 0.0000
0.7500 0.2500 0.0000
0.2500 0.2500 0.4660
0.7500 0.7500 0.5340
0.2500 0.2500 0.1671
0.7500 0.7500 0.8329
0.2500 0.7500 0.5000
0.7500 0.2500 0.5000
```